VASP calculation (PBE) on crystalline Y2TeIr at its relaxed geometry.

Unit cell a=5.0437 b=5.0437 c=5.0437 alpha=60.00 beta=60.00 gamma=60.00
With the nearest neighbours (Å) after each atom.
Atoms (fractional coordinates):
Y: 0.7500 0.7500 0.7500  4 Te 3.09, 4 Y 3.09
Te: 0.5000 0.5000 0.5000  4 Y 3.09, 4 Ir 3.09
Ir: 0.2500 0.2500 0.2500  4 Te 3.09, 4 Y 3.09
Y: 0.0000 0.0000 0.0000  4 Y 3.09, 4 Ir 3.09

Properties
* raw total energy: -6.41 eV per atom
* symmetry: No. 216

---

VASP calculation (PBE) on crystalline YTe2Ir2 at its relaxed geometry.

Unit cell a=5.8527 b=5.8527 c=5.8527 alpha=131.03 beta=131.03 gamma=71.76
With the nearest neighbours (Å) after each atom.
Atoms (fractional coordinates):
Te: 0.2500 0.7500 0.5000  4 Ir 2.65
Te: 0.7500 0.2500 0.5000  4 Ir 2.65
Ir: 0.3633 0.3633 0.0000  1 Ir 2.59, 4 Te 2.65
Y: 0.0000 0.0000 0.0000  8 Te 3.39, 10 Ir 3.45-3.67
Ir: 0.6367 0.6367 0.0000  1 Ir 2.59, 4 Te 2.65

Properties
* raw total energy: -6.36 eV per atom
* symmetry: No. 139

---

VASP calculation (PBE) on crystalline ZnTeIr at its relaxed geometry.

Unit cell a=4.3877 b=4.3877 c=4.3877 alpha=60.00 beta=60.00 gamma=60.00
With the nearest neighbours (Å) after each atom.
Atoms (fractional coordinates):
Ir: 0.0000 0.0000 0.0000  4 Te 2.69, 4 Zn 2.69
Zn: 0.7500 0.7500 0.7500  4 Ir 2.69
Te: 0.2500 0.2500 0.2500  4 Ir 2.69

Properties
* excess energy over the best structure of this formula in the dataset: 0.00 eV/f.u.
* raw total energy: -4.51 eV per atom
* symmetry: No. 216

---

VASP calculation (PBE) on crystalline Zr2Te6Ir at its relaxed geometry.

Unit cell a=10.4855 b=10.4855 c=6.1417 alpha=90.98 beta=90.98 gamma=22.09
With the nearest neighbours (Å) after each atom.
Atoms (fractional coordinates):
Te: 0.7838 0.7838 0.7854  3 Zr 2.87-2.90
Ir: 0.0000 0.0000 0.0000  6 Te 2.67-2.70
Te: 0.1105 0.1105 0.7775  1 Ir 2.67, 2 Zr 2.88
Zr: 0.3315 0.3315 0.4943  6 Te 2.87-2.95
Te: 0.8895 0.8895 0.2225  1 Ir 2.67, 2 Zr 2.88
Zr: 0.6685 0.6685 0.5057  6 Te 2.87-2.95
Te: 0.4553 0.4553 0.7443  2 Ir 2.70, 1 Zr 2.95
Te: 0.2162 0.2162 0.2146  3 Zr 2.87-2.90
Te: 0.5447 0.5447 0.2557  2 Ir 2.70, 1 Zr 2.95

Properties
* raw total energy: -5.53 eV per atom
* symmetry: No. 12

---

VASP calculation (PBE) on crystalline ZrTeIr2 at its relaxed geometry.

Unit cell a=4.6853 b=4.6853 c=4.6853 alpha=60.00 beta=60.00 gamma=60.00
With the nearest neighbours (Å) after each atom.
Atoms (fractional coordinates):
Zr: 0.5000 0.5000 0.5000  4 Ir 2.87, 4 Te 2.87
Ir: 0.0000 0.0000 0.0000  4 Te 2.87, 4 Ir 2.87
Te: 0.7500 0.7500 0.7500  4 Zr 2.87, 4 Ir 2.87
Ir: 0.2500 0.2500 0.2500  4 Zr 2.87, 4 Ir 2.87

Properties
* raw total energy: -7.32 eV per atom
* symmetry: No. 216

---

VASP calculation (PBE) on crystalline ZrTeIr at its relaxed geometry.

Unit cell a=4.6366 b=4.6366 c=4.6366 alpha=60.00 beta=60.00 gamma=60.00
With the nearest neighbours (Å) after each atom.
Atoms (fractional coordinates):
Zr: 0.0000 0.0000 0.0000  4 Te 2.84, 4 Ir 2.84
Te: 0.7500 0.7500 0.7500  4 Zr 2.84
Ir: 0.2500 0.2500 0.2500  4 Zr 2.84

Properties
* excess energy over the best structure of this formula in the dataset: 1.12 eV/f.u.
* raw total energy: -7.00 eV per atom
* symmetry: No. 216

---

VASP calculation (PBE) on crystalline ThIr at its relaxed geometry.

Unit cell a=3.8473 b=3.8473 c=3.8032 alpha=90.00 beta=90.00 gamma=120.00
With the nearest neighbours (Å) after each atom.
Atoms (fractional coordinates):
Ir: 0.6667 0.3333 0.7500  6 Th 2.92
Th: 0.3333 0.6667 0.2500  6 Ir 2.92

Properties
* raw total energy: -8.73 eV per atom
* symmetry: No. 187
* ΔE_f: -600 meV per atom

---

VASP calculation (PBE) on crystalline ThIr at its relaxed geometry.

Unit cell a=4.2195 b=4.2195 c=4.2195 alpha=55.75 beta=55.75 gamma=55.75
With the nearest neighbours (Å) after each atom.
Atoms (fractional coordinates):
Th: 0.5000 0.5000 0.5000  6 Ir 2.89
Ir: 0.0000 0.0000 0.0000  6 Th 2.89

Properties
* raw total energy: -9.05 eV per atom
* symmetry: No. 166
* ΔE_f: -920 meV per atom